(1)
LaRe2Mo | Alexandria via LeMat-Bulk | GGA-PBE | relaxed; ΔE_f = 0.4828 eV/atom; space-group type = P2/m (10); mass density = 12.80 g/cm3; energy = -38.72 eV/cell
1.0
4.247 0.000 0.000
0.000 2.908 0.039
0.000 1.070 6.395
Re La Mo
2 1 1
direct
0.000 0.990 0.931
0.000 0.510 0.569
0.500 0.250 0.250
0.500 0.750 0.750

(2)
KHg3P | Alexandria via LeMat-Bulk | GGA-PBE | relaxed; ΔE_f = -0.1134 eV/atom; space-group type = P1 (1); mass density = 7.43 g/cm3; energy = -15.96 eV/cell
1.0
5.017 0.000 0.000
2.506 5.159 0.000
0.506 1.545 11.595
Hg P K
6 2 2
direct
0.859 0.851 0.812
0.182 0.193 0.849
0.565 0.433 0.668
0.834 0.835 0.145
0.546 0.512 0.334
0.157 0.182 0.192
0.945 0.726 0.405
0.952 0.669 0.586
0.509 0.511 0.000
0.253 0.086 0.504

(3)
LaCe2DyAs4 | Alexandria via LeMat-Bulk | GGA-PBE | relaxed; ΔE_f = -1.4802 eV/atom; space-group type = P2/m (10); mass density = 6.81 g/cm3; energy = -51.84 eV/cell
1.0
-3.074 1.570 2.452
-4.514 0.181 -5.775
-3.623 -6.362 -0.469
As La Ce Dy
4 1 2 1
direct
0.500 0.250 0.743
0.000 0.244 0.259
0.500 0.750 0.257
0.000 0.756 0.741
0.500 0.500 0.000
0.000 0.000 0.000
0.500 0.000 0.500
0.000 0.500 0.500

(4)
AcTm4Se8 | Alexandria via LeMat-Bulk | GGA-PBE | relaxed; space-group type = R-3m (166); formation energy (no corrections) = -22.91 eV per formula unit; mass density = 6.18 g/cm3; energy = -72.78 eV/cell
1.0
8.048 0.000 0.000
4.024 6.970 0.000
4.024 2.323 7.356
Se Tm Ac
8 4 1
direct
0.239 0.743 0.778
0.239 0.239 0.778
0.743 0.239 0.778
0.262 0.262 0.215
0.761 0.761 0.222
0.257 0.761 0.222
0.761 0.257 0.222
0.738 0.738 0.785
0.500 0.000 0.000
0.000 0.500 0.000
0.000 0.000 0.000
0.500 0.500 0.000
0.500 0.500 0.500

(5)
LiHoTlPd | Alexandria via LeMat-Bulk | GGA-PBE | relaxed; ΔE_f = -0.4948 eV/atom; space-group type = F-43m (216); mass density = 10.11 g/cm3; energy = -16.03 eV/cell
1.0
-1.810 2.497 -3.706
-0.611 -2.138 -4.278
-4.445 -0.952 -1.607
Li Pd Ho Tl
1 1 1 1
direct
0.000 0.000 0.000
0.500 0.500 0.500
0.750 0.750 0.750
0.250 0.250 0.250

(6)
La5Pm2SmTm | Alexandria via LeMat-Bulk | GGA-PBE | relaxed; ΔE_f = 0.2759 eV/atom; space-group type = I4/mcm (140); mass density = 6.73 g/cm3; energy = -81.69 eV/cell
1.0
9.002 0.000 0.000
0.000 9.002 0.000
-4.501 -4.501 7.937
La Pm Sm Tm
10 4 2 2
direct
0.928 0.428 0.284
0.500 0.500 0.000
0.000 0.000 0.000
0.355 0.855 0.284
0.428 0.355 0.284
0.855 0.928 0.284
0.145 0.072 0.716
0.645 0.145 0.716
0.572 0.645 0.716
0.072 0.572 0.716
0.884 0.616 0.000
0.616 0.116 0.000
0.116 0.384 0.000
0.384 0.884 0.000
0.250 0.250 0.500
0.750 0.750 0.500
0.250 0.750 0.500
0.750 0.250 0.500

(7)
PuZn2PbO8 | Alexandria via LeMat-Bulk | GGA-PBE | relaxed; space-group type = I-4m2 (119); formation energy (no corrections) = -15.27 eV per formula unit; mass density = 7.43 g/cm3; energy = -75.53 eV/cell
1.0
-1.811 -4.484 -3.403
4.589 2.419 -2.839
1.548 -1.876 5.391
Pu O Zn Pb
1 8 2 1
direct
0.250 0.750 0.500
0.964 0.286 0.322
0.302 0.507 0.205
0.358 0.036 0.322
0.493 0.698 0.795
0.714 0.036 0.678
0.904 0.698 0.205
0.964 0.642 0.678
0.302 0.096 0.795
0.500 0.500 0.000
0.750 0.250 0.500
0.000 0.000 0.000

(8)
Dy8Y4Er3 | Alexandria via LeMat-Bulk | GGA-PBE | relaxed; ΔE_f = 0.3991 eV/atom; space-group type = C2/m (12); mass density = 7.24 g/cm3; energy = -70.38 eV/cell
1.0
-1.609 -3.488 -5.535
9.073 1.649 0.431
1.091 -5.556 7.292
Er Dy Y
3 8 4
direct
0.500 0.000 0.500
0.500 0.500 0.500
0.500 0.500 0.000
0.000 0.641 0.359
0.000 0.359 0.641
0.500 0.746 0.254
0.993 0.729 0.729
0.500 0.254 0.746
0.527 0.269 0.269
0.473 0.731 0.731
0.007 0.271 0.271
0.000 0.000 0.000
0.500 0.000 0.000
0.000 0.000 0.500
0.000 0.500 0.000

(9)
YZrOs | Alexandria via LeMat-Bulk | GGA-PBE | relaxed; ΔE_f = -0.2594 eV/atom; space-group type = Fmmm (69); mass density = 9.08 g/cm3; energy = -216.16 eV/cell
1.0
-1.535 0.247 9.814
3.560 -8.132 0.761
5.529 2.495 0.802
Y Zr Os
8 8 8
direct
0.000 0.682 0.500
0.500 0.182 0.500
0.000 0.182 0.000
0.000 0.318 0.500
0.000 0.818 0.000
0.500 0.318 0.000
0.500 0.818 0.500
0.500 0.682 0.000
0.818 0.500 0.000
0.682 0.500 0.500
0.318 0.500 0.500
0.318 0.000 0.000
0.182 0.000 0.500
0.818 0.000 0.500
0.182 0.500 0.000
0.682 0.000 0.000
0.750 0.250 0.250
0.250 0.750 0.750
0.250 0.250 0.250
0.250 0.750 0.250
0.750 0.250 0.750
0.750 0.750 0.250
0.750 0.750 0.750
0.250 0.250 0.750

(10)
Ce5Ge2Pt | Alexandria via LeMat-Bulk | GGA-PBE | relaxed; ΔE_f = -0.6819 eV/atom; space-group type = Pbam (55); mass density = 8.37 g/cm3; energy = -100.80 eV/cell
1.0
4.527 0.000 0.000
0.000 7.689 0.000
0.000 0.000 11.864
Ce Ge Pt
10 4 2
direct
0.500 0.288 0.566
0.000 0.848 0.220
0.500 0.712 0.434
0.000 0.348 0.280
0.000 0.152 0.780
0.500 0.212 0.066
0.500 0.788 0.934
0.000 0.000 0.500
0.000 0.652 0.720
0.000 0.500 0.000
0.500 0.421 0.827
0.500 0.079 0.327
0.500 0.921 0.673
0.500 0.579 0.173
0.000 0.500 0.500
0.000 0.000 0.000

(11)
ErScI | Alexandria via LeMat-Bulk | GGA-PBE | relaxed; space-group type = Pmmn (59); formation energy (no corrections) = -0.65 eV per formula unit; mass density = 4.59 g/cm3; energy = -26.20 eV/cell
1.0
3.601 0.000 0.000
0.000 5.305 0.000
0.000 0.000 12.840
Er I Sc
2 2 2
direct
0.500 0.500 0.533
0.000 0.000 0.467
0.000 0.000 0.866
0.500 0.500 0.134
0.500 0.000 0.694
0.000 0.500 0.306

(12)
K2CaZn | Alexandria via LeMat-Bulk | GGA-PBE | relaxed; ΔE_f = 0.2357 eV/atom; space-group type = I-42d (122); mass density = 1.55 g/cm3; energy = -9.06 eV/cell
1.0
-8.992 1.087 6.521
5.723 -4.231 8.597
-0.696 1.339 8.367
Ca Zn K
2 2 4
direct
0.250 0.750 0.500
0.500 0.500 0.000
0.000 0.000 0.000
0.750 0.250 0.500
0.720 0.125 0.250
0.030 0.625 0.250
0.375 0.280 0.750
0.875 0.970 0.750

Looking at spin magnetization for the records above, in order, we have 0.000; 0.000; 0.162; 0.000; 0.000; 0.000; 0.004; 0.036; 0.000; 0.520; 0.000; 0.000 μB/atom.